# NdDy3Rh4 PBE optimized geometry
data_NdDy3Rh4
_chemical_formula_sum 'Nd1 Dy3 Rh4'
_cell_length_a 4.9138
_cell_length_b 4.9138
_cell_length_c 6.8353
_cell_angle_alpha 90.00
_cell_angle_beta 90.00
_cell_angle_gamma 90.00
_space_group_name_H-M_alt 'P 1'
_space_group_IT_number 1
loop_
_space_group_symop_operation_xyz
'x,y,z'
loop_
_atom_site_label
_atom_site_fract_x
_atom_site_fract_y
_atom_site_fract_z
_atom_site_occupancy
Nd1 0.0000 0.0000 0.0000 1
Dy1 0.0000 0.0000 0.5000 1
Dy2 0.5000 0.5000 0.0000 1
Dy3 0.5000 0.5000 0.5000 1
Rh1 0.0000 0.5000 0.2553 1
Rh2 0.0000 0.5000 0.7447 1
Rh3 0.5000 0.0000 0.2553 1
Rh4 0.5000 0.0000 0.7447 1
# Energy   -6.803 eV/atom
# Density of states at the Fermi level   5.21 states/eV/f.u.
# Formation energy   -0.805 eV/atom
# Total magnetization   0.000 μB/f.u.